# Zr2ZnFeSn | Alexandria | PBE-GGA | relaxed
# Electronic total energy ... -5.7460 eV per atom
data_Zr2ZnFeSn
_chemical_formula_sum 'Zr2 Zn1 Fe1 Sn1'
_symmetry_space_group_name_H-M 'P 4/m m m'
_symmetry_Int_Tables_number 123
_symmetry_space_group_name_Hall '-P 4 2'
_cell_length_a 4.969
_cell_length_b 4.969
_cell_length_c 4.447
_cell_angle_alpha 90.00
_cell_angle_beta 90.00
_cell_angle_gamma 90.00
loop_
_atom_site_label
_atom_site_type_symbol
_atom_site_fract_x
_atom_site_fract_y
_atom_site_fract_z
Zr1 Zr 0.000 0.500 0.000
Zn1 Zn 0.000 0.000 0.000
Fe1 Fe 0.000 0.000 0.500
Sn1 Sn 0.500 0.500 0.500

***

# ZrFeSn2 | Alexandria | PBE-GGA | relaxed
# Electronic total energy ... -6.1170 eV per atom
data_ZrFeSn2
_chemical_formula_sum 'Zr4 Fe4 Sn8'
_symmetry_space_group_name_H-M 'F m -3 m'
_symmetry_Int_Tables_number 225
_symmetry_space_group_name_Hall '-F 4 2 3'
_cell_length_a 6.762
_cell_length_b 6.762
_cell_length_c 6.762
_cell_angle_alpha 90.00
_cell_angle_beta 90.00
_cell_angle_gamma 90.00
loop_
_atom_site_label
_atom_site_type_symbol
_atom_site_fract_x
_atom_site_fract_y
_atom_site_fract_z
Zr1 Zr 0.000 0.000 0.000
Fe1 Fe 0.000 0.000 0.500
Sn1 Sn 0.250 0.250 0.250

***

# ZrFeSn2 | Alexandria | PBE-GGA | relaxed
# Electronic total energy ... -5.8694 eV per atom
data_ZrFeSn2
_chemical_formula_sum 'Zr4 Fe4 Sn8'
_symmetry_space_group_name_H-M 'I -4 2 d'
_symmetry_Int_Tables_number 122
_symmetry_space_group_name_Hall 'I -4 2bw'
_cell_length_a 4.127
_cell_length_b 4.127
_cell_length_c 20.452
_cell_angle_alpha 90.00
_cell_angle_beta 90.00
_cell_angle_gamma 90.00
loop_
_atom_site_label
_atom_site_type_symbol
_atom_site_fract_x
_atom_site_fract_y
_atom_site_fract_z
Zr1 Zr 0.000 0.000 0.000
Fe1 Fe 0.000 0.000 0.500
Sn1 Sn 0.240 0.250 0.625

***

# ZrFe6Sn6 | Alexandria | PBE-GGA | relaxed
# Electronic total energy ... -6.4805 eV per atom
data_ZrFe6Sn6
_chemical_formula_sum 'Zr1 Fe6 Sn6'
_symmetry_space_group_name_H-M 'P 6/m m m'
_symmetry_Int_Tables_number 191
_symmetry_space_group_name_Hall '-P 6 2'
_cell_length_a 5.3691
_cell_length_b 5.3691
_cell_length_c 8.9249
_cell_angle_alpha 90.00
_cell_angle_beta 90.00
_cell_angle_gamma 120.00
loop_
_atom_site_label
_atom_site_type_symbol
_atom_site_fract_x
_atom_site_fract_y
_atom_site_fract_z
Zr1 Zr 0.0000 0.0000 0.0000
Fe1 Fe 0.0000 0.5000 0.2471
Sn1 Sn 0.0000 0.0000 0.3318
Sn2 Sn 0.3333 0.6667 0.0000
Sn3 Sn 0.3333 0.6667 0.5000

***

# Zr6Fe2Sn | Alexandria | PBE-GGA | relaxed
# Electronic total energy ... -8.2116 eV per atom
data_Zr6Fe2Sn
_chemical_formula_sum 'Zr24 Fe8 Sn4'
_symmetry_space_group_name_H-M 'I m m m'
_symmetry_Int_Tables_number 71
_symmetry_space_group_name_Hall '-I 2 2'
_cell_length_a 8.615
_cell_length_b 9.092
_cell_length_c 9.384
_cell_angle_alpha 90.00
_cell_angle_beta 90.00
_cell_angle_gamma 90.00
loop_
_atom_site_label
_atom_site_type_symbol
_atom_site_fract_x
_atom_site_fract_y
_atom_site_fract_z
Zr1 Zr 0.000 0.214 0.240
Zr2 Zr 0.194 0.500 0.184
Zr3 Zr 0.215 0.302 0.500
Fe1 Fe 0.000 0.349 0.000
Fe2 Fe 0.000 0.500 0.386
Sn1 Sn 0.000 0.000 0.000
Sn2 Sn 0.000 0.000 0.500

***

# ZrFe3Sn | Alexandria | PBE-GGA | relaxed
# Electronic total energy ... -6.4321 eV per atom
data_ZrFe3Sn
_chemical_formula_sum 'Zr1 Fe3 Sn1'
_symmetry_space_group_name_H-M 'P m -3 m'
_symmetry_Int_Tables_number 221
_symmetry_space_group_name_Hall '-P 4 2 3'
_cell_length_a 4.584
_cell_length_b 4.584
_cell_length_c 4.584
_cell_angle_alpha 90.00
_cell_angle_beta 90.00
_cell_angle_gamma 90.00
loop_
_atom_site_label
_atom_site_type_symbol
_atom_site_fract_x
_atom_site_fract_y
_atom_site_fract_z
Zr1 Zr 0.000 0.000 0.000
Fe1 Fe 0.000 0.500 0.500
Sn1 Sn 0.500 0.500 0.500

***

# Zr8FeSn2 | Alexandria | PBE-GGA | relaxed
# Electronic total energy ... -7.9085 eV per atom
data_Zr8FeSn2
_chemical_formula_sum 'Zr16 Fe2 Sn4'
_symmetry_space_group_name_H-M 'C 1 2/m 1'
_symmetry_Int_Tables_number 12
_symmetry_space_group_name_Hall '-C 2y'
_cell_length_a 16.637
_cell_length_b 5.011
_cell_length_c 6.071
_cell_angle_alpha 90.00
_cell_angle_beta 106.69
_cell_angle_gamma 90.00
loop_
_atom_site_label
_atom_site_type_symbol
_atom_site_fract_x
_atom_site_fract_y
_atom_site_fract_z
Zr1 Zr 0.012 0.000 0.251
Zr2 Zr 0.091 0.500 0.761
Zr3 Zr 0.138 0.500 0.307
Zr4 Zr 0.220 0.000 0.133
Fe1 Fe 0.000 0.500 0.000
Sn1 Sn 0.172 0.000 0.622

***

# Zr2FeSn2 | Alexandria | PBE-GGA | relaxed
# Electronic total energy ... -6.9274 eV per atom
data_Zr2FeSn2
_chemical_formula_sum 'Zr4 Fe2 Sn4'
_symmetry_space_group_name_H-M 'P 4/m b m'
_symmetry_Int_Tables_number 127
_symmetry_space_group_name_Hall '-P 4 2ab'
_cell_length_a 6.958
_cell_length_b 6.958
_cell_length_c 4.334
_cell_angle_alpha 90.00
_cell_angle_beta 90.00
_cell_angle_gamma 90.00
loop_
_atom_site_label
_atom_site_type_symbol
_atom_site_fract_x
_atom_site_fract_y
_atom_site_fract_z
Zr1 Zr 0.166 0.334 0.000
Fe1 Fe 0.000 0.000 0.500
Sn1 Sn 0.144 0.644 0.500

***

# Zr12Fe6Sn | Alexandria | PBE-GGA | relaxed
# Electronic total energy ... -8.4079 eV per atom
data_Zr12Fe6Sn
_chemical_formula_sum 'Zr24 Fe12 Sn2'
_symmetry_space_group_name_H-M 'I m -3'
_symmetry_Int_Tables_number 204
_symmetry_space_group_name_Hall '-I 2 2 3'
_cell_length_a 9.042
_cell_length_b 9.042
_cell_length_c 9.042
_cell_angle_alpha 90.00
_cell_angle_beta 90.00
_cell_angle_gamma 90.00
loop_
_atom_site_label
_atom_site_type_symbol
_atom_site_fract_x
_atom_site_fract_y
_atom_site_fract_z
Zr1 Zr 0.000 0.295 0.196
Fe1 Fe 0.000 0.122 0.500
Sn1 Sn 0.000 0.000 0.000

***

# SrFe2 | Alexandria | PBE-GGA | relaxed
# Electronic total energy ... -5.7179 eV per atom
data_SrFe2
_chemical_formula_sum 'Sr4 Fe8'
_symmetry_space_group_name_H-M 'C 1 2/m 1'
_symmetry_Int_Tables_number 12
_symmetry_space_group_name_Hall '-C 2y'
_cell_length_a 10.293
_cell_length_b 3.903
_cell_length_c 6.392
_cell_angle_alpha 90.00
_cell_angle_beta 98.02
_cell_angle_gamma 90.00
loop_
_atom_site_label
_atom_site_type_symbol
_atom_site_fract_x
_atom_site_fract_y
_atom_site_fract_z
Sr1 Sr 0.117 0.000 0.329
Fe1 Fe 0.092 0.500 0.937
Fe2 Fe 0.193 0.000 0.888

***

# SrFe | Alexandria | PBE-GGA | relaxed
# Electronic total energy ... -4.0073 eV per atom
data_SrFe
_chemical_formula_sum 'Sr1 Fe1'
_symmetry_space_group_name_H-M 'P -6 m 2'
_symmetry_Int_Tables_number 187
_symmetry_space_group_name_Hall 'P -6 2'
_cell_length_a 3.6890
_cell_length_b 3.6890
_cell_length_c 4.7824
_cell_angle_alpha 90.00
_cell_angle_beta 90.00
_cell_angle_gamma 120.00
loop_
_atom_site_label
_atom_site_type_symbol
_atom_site_fract_x
_atom_site_fract_y
_atom_site_fract_z
Sr1 Sr 0.0000 0.0000 0.0000
Fe1 Fe 0.3333 0.6667 0.5000

***

# SrFe | Alexandria | PBE-GGA | relaxed
# Electronic total energy ... -4.4182 eV per atom
data_SrFe
_chemical_formula_sum 'Sr16 Fe16'
_symmetry_space_group_name_H-M 'F d d d'
_symmetry_Int_Tables_number 70
_cell_length_a 6.061
_cell_length_b 9.526
_cell_length_c 14.779
_cell_angle_alpha 90.00
_cell_angle_beta 90.00
_cell_angle_gamma 90.00
loop_
_symmetry_equiv_pos_as_xyz
'x,y,z'
'-x,-y,-z'
'-x+1/4,-y+1/4,z'
'x+1/4,y+1/4,-z'
'x,-y+1/4,-z+1/4'
'-x,y+1/4,z+1/4'
'-x+1/4,y,-z+1/4'
'x+1/4,-y,z+1/4'
'x,y+1/2,z+1/2'
'-x,-y+1/2,-z+1/2'
'-x+1/4,-y+3/4,z+1/2'
'x+1/4,y+3/4,-z+1/2'
'x,-y+3/4,-z+3/4'
'-x,y+3/4,z+3/4'
'-x+1/4,y+1/2,-z+3/4'
'x+1/4,-y+1/2,z+3/4'
'x+1/2,y,z+1/2'
'-x+1/2,-y,-z+1/2'
'-x+3/4,-y+1/4,z+1/2'
'x+3/4,y+1/4,-z+1/2'
'x+1/2,-y+1/4,-z+3/4'
'-x+1/2,y+1/4,z+3/4'
'-x+3/4,y,-z+3/4'
'x+3/4,-y,z+3/4'
'x+1/2,y+1/2,z'
'-x+1/2,-y+1/2,-z'
'-x+3/4,-y+3/4,z'
'x+3/4,y+3/4,-z'
'x+1/2,-y+3/4,-z+1/4'
'-x+1/2,y+3/4,z+1/4'
'-x+3/4,y+1/2,-z+1/4'
'x+3/4,-y+1/2,z+1/4'
loop_
_atom_site_label
_atom_site_type_symbol
_atom_site_fract_x
_atom_site_fract_y
_atom_site_fract_z
Sr1 Sr 0.125 0.297 0.125
Fe1 Fe 0.125 0.125 0.553

***

For each record above, in turn, the calculated volume values are 109.8, 77.3, 87.1, 222.8, 183.8, 96.3, 242.4, 104.9, 369.6, 63.6, 56.4, 53.3 Å³/f.u..